1.
## TlSbTe2Rh (SCAN)

Data for a crystal of TlSbTe2Rh relaxed with PBEsol.

a = 5.4140 Å, b = 5.4140 Å, c = 4.9021 Å
α = 90.00°, β = 90.00°, γ = 90.00°
Fractional positions:
Tl  0.0000  0.0000  0.0000
Sb  0.5000  0.5000  0.0000
Te  0.0000  0.5000  0.5000
Te  0.5000  0.0000  0.5000
Rh  0.5000  0.5000  0.5000

## Properties
Final energy: -43.4669 eV/atom
Space-group type: P4/mmm
Raw formation energy: 0.6 eV/f.u.
Crystal system: tetragonal

***

2.
## YSbTe2Rh (SCAN)

Data for a crystal of YSbTe2Rh relaxed with PBEsol.

a = 5.2897 Å, b = 5.2897 Å, c = 4.8801 Å
α = 90.00°, β = 90.00°, γ = 90.00°
Fractional positions:
Y  0.0000  0.0000  0.0000
Sb  0.5000  0.5000  0.0000
Te  0.0000  0.5000  0.5000
Te  0.5000  0.0000  0.5000
Rh  0.5000  0.5000  0.5000

## Properties
Final energy: -34.9630 eV/atom
Space-group type: P4/mmm
Raw formation energy: -1.4 eV/f.u.
Crystal system: tetragonal

***

3.
## ZnSb2TeRh (SCAN)

Data for a crystal of ZnSb2TeRh relaxed with PBEsol.

a = 4.9662 Å, b = 4.9662 Å, c = 5.4861 Å
α = 90.00°, β = 90.00°, γ = 90.00°
Fractional positions:
Zn  0.0000  0.0000  0.0000
Sb  0.0000  0.5000  0.5000
Sb  0.5000  0.0000  0.5000
Te  0.5000  0.5000  0.0000
Rh  0.5000  0.5000  0.5000

## Properties
Final energy: -31.3914 eV/atom
Space-group type: P4/mmm
Raw formation energy: 2.1 eV/f.u.
Crystal system: tetragonal

***

4.
## Tl2SbRh (SCAN)

Data for a crystal of Tl2SbRh relaxed with PBEsol.

a = 4.9896 Å, b = 4.9896 Å, c = 4.9896 Å
α = 60.00°, β = 60.00°, γ = 60.00°
Fractional positions:
Tl  0.2500  0.2500  0.2500
Tl  0.7500  0.7500  0.7500
Sb  0.0000  0.0000  0.0000
Rh  0.5000  0.5000  0.5000

## Properties
Final energy: -53.4699 eV/atom
Space-group type: Fm-3m
Raw formation energy: 1.9 eV/f.u.
Crystal system: cubic
Offset from the most stable computed form: 0.54 eV per formula unit

***

5.
## TlSbRh3 (SCAN)

Data for a crystal of TlSbRh3 relaxed with PBEsol.

a = 4.8581 Å, b = 4.8581 Å, c = 4.8581 Å
α = 90.00°, β = 90.00°, γ = 90.00°
Fractional positions:
Tl  0.0000  0.0000  0.0000
Sb  0.5000  0.5000  0.5000
Rh  0.0000  0.0000  0.5000
Rh  0.0000  0.5000  0.0000
Rh  0.5000  0.0000  0.0000

## Properties
Final energy: -40.7555 eV/atom
Space-group type: Pm-3m
Raw formation energy: 7.2 eV/f.u.
Crystal system: cubic

***

6.
## TlSb3Rh (SCAN)

Data for a crystal of TlSb3Rh relaxed with PBEsol.

a = 5.1509 Å, b = 5.1509 Å, c = 5.1509 Å
α = 90.00°, β = 90.00°, γ = 90.00°
Fractional positions:
Tl  0.0000  0.0000  0.0000
Sb  0.0000  0.5000  0.5000
Sb  0.5000  0.0000  0.5000
Sb  0.5000  0.5000  0.0000
Rh  0.5000  0.5000  0.5000

## Properties
Final energy: -43.3346 eV/atom
Space-group type: Pm-3m
Raw formation energy: 1.2 eV/f.u.
Crystal system: cubic

***

7.
## TlSbRh2 (SCAN)

Data for a crystal of TlSbRh2 relaxed with PBEsol.

a = 4.6618 Å, b = 4.6618 Å, c = 4.6618 Å
α = 60.00°, β = 60.00°, γ = 60.00°
Fractional positions:
Tl  0.0000  0.0000  0.0000
Sb  0.7500  0.7500  0.7500
Rh  0.2500  0.2500  0.2500
Rh  0.5000  0.5000  0.5000

## Properties
Final energy: -43.9501 eV/atom
Space-group type: F-43m
Raw formation energy: 1.4 eV/f.u.
Crystal system: cubic
Offset from the most stable computed form: 1.63 eV per formula unit

***

8.
## Tl2SbRh (SCAN)

Data for a crystal of Tl2SbRh relaxed with PBEsol.

a = 6.1592 Å, b = 6.1592 Å, c = 3.4847 Å
α = 105.69°, β = 105.69°, γ = 124.32°
Fractional positions:
Tl  0.0000  0.5000  0.0000
Tl  0.5000  0.0000  0.0000
Sb  0.0000  0.0000  0.5000
Rh  0.5000  0.5000  0.5000

## Properties
Final energy: -53.6060 eV/atom
Space-group type: C2/m
Raw formation energy: 1.3 eV/f.u.
Crystal system: monoclinic
Offset from the most stable computed form: 0.00 eV per formula unit

***

9.
## TlSbRh2 (SCAN)

Data for a crystal of TlSbRh2 relaxed with PBEsol.

a = 8.1753 Å, b = 8.1753 Å, c = 8.1753 Å
α = 22.81°, β = 22.81°, γ = 22.81°
Fractional positions:
Tl  0.0000  0.0000  0.0000
Sb  0.5000  0.5000  0.5000
Rh  0.2447  0.2447  0.2447
Rh  0.7553  0.7553  0.7553

## Properties
Final energy: -44.3576 eV/atom
Space-group type: R-3m
Raw formation energy: -0.3 eV/f.u.
Crystal system: trigonal
Offset from the most stable computed form: 0.00 eV per formula unit

***

10.
## TmSbRh (SCAN)

Data for a crystal of TmSbRh relaxed with PBEsol.

a = 6.9589 Å, b = 4.4981 Å, c = 7.6831 Å
α = 90.00°, β = 90.00°, γ = 90.00°
Fractional positions:
Tm  0.0088  0.2500  0.2010
Tm  0.4912  0.7500  0.7010
Tm  0.5088  0.2500  0.2990
Tm  0.9912  0.7500  0.7990
Sb  0.1937  0.2500  0.5913
Sb  0.3063  0.7500  0.0913
Sb  0.6937  0.2500  0.9087
Sb  0.8063  0.7500  0.4087
Rh  0.1995  0.7500  0.4195
Rh  0.3005  0.2500  0.9195
Rh  0.6995  0.7500  0.0805
Rh  0.8005  0.2500  0.5805

## Properties
Final energy: -42.0991 eV/atom
Space-group type: Pnma
Raw formation energy: -3.4 eV/f.u.
Crystal system: orthorhombic

***

11.
## U3Sb4Rh3 (SCAN)

Data for a crystal of U3Sb4Rh3 relaxed with PBEsol.

a = 8.1692 Å, b = 8.1692 Å, c = 8.1692 Å
α = 109.47°, β = 109.47°, γ = 109.47°
Fractional positions:
U  0.1250  0.8750  0.2500
U  0.2500  0.1250  0.8750
U  0.3750  0.6250  0.7500
U  0.6250  0.7500  0.3750
U  0.7500  0.3750  0.6250
U  0.8750  0.2500  0.1250
Sb  0.0000  0.1757  0.5000
Sb  0.0000  0.6757  0.5000
Sb  0.1757  0.5000  0.0000
Sb  0.3243  0.3243  0.3243
Sb  0.5000  0.0000  0.1757
Sb  0.5000  0.0000  0.6757
Sb  0.6757  0.5000  0.0000
Sb  0.8243  0.8243  0.8243
Rh  0.1250  0.7500  0.8750
Rh  0.2500  0.6250  0.3750
Rh  0.3750  0.2500  0.6250
Rh  0.6250  0.3750  0.2500
Rh  0.7500  0.8750  0.1250
Rh  0.8750  0.1250  0.7500

## Properties
Final energy: -56.6168 eV/atom
Space-group type: I-43d
Raw formation energy: -5.2 eV/f.u.
Crystal system: cubic

***

12.
## SbRhW (SCAN)

Data for a crystal of SbRhW relaxed with PBEsol.

a = 2.9754 Å, b = 2.9754 Å, c = 6.5887 Å
α = 90.00°, β = 90.00°, γ = 120.00°
Fractional positions:
Sb  0.0000  0.0000  0.0000
Rh  0.6667  0.3333  0.3379
W  0.3333  0.6667  0.6430

## Properties
Final energy: -46.5876 eV/atom
Space-group type: P3m1
Raw formation energy: 1.0 eV/f.u.
Crystal system: trigonal
Offset from the most stable computed form: 0.00 eV per formula unit